1.
# TbTaIr2 (PBE, relaxed)
data_TbTaIr2
_space_group_name_H-M_alt 'P 4/m m m'
_space_group_IT_number 123
_space_group_name_Hall '-P 4 2'
_cell_length_a 3.127
_cell_length_b 3.127
_cell_length_c 7.548
_cell_angle_alpha 90.00
_cell_angle_beta 90.00
_cell_angle_gamma 90.00
loop_
_atom_site_label
_atom_site_type_symbol
_atom_site_fract_x
_atom_site_fract_y
_atom_site_fract_z
Tb1 Tb 0.000 0.000 0.000
Ta1 Ta 0.000 0.000 0.500
Ir1 Ir 0.500 0.500 0.291
# Magnetic moment = 0.000 μB per atom
# Electronic total energy = -9.178 eV per atom
# Formation energy = -0.627 eV/atom
# DOS at the Fermi energy = 2.73 states/eV/cell

2.
# TbTa2Ir2 (PBE, relaxed)
data_TbTa2Ir2
_space_group_name_H-M_alt 'I 4/m m m'
_space_group_IT_number 139
_space_group_name_Hall '-I 4 2'
_cell_length_a 4.432
_cell_length_b 4.432
_cell_length_c 10.548
_cell_angle_alpha 90.00
_cell_angle_beta 90.00
_cell_angle_gamma 90.00
loop_
_atom_site_label
_atom_site_type_symbol
_atom_site_fract_x
_atom_site_fract_y
_atom_site_fract_z
Tb1 Tb 0.000 0.000 0.000
Ta1 Ta 0.000 0.500 0.250
Ir1 Ir 0.000 0.000 0.376
# Magnetic moment = 0.000 μB per atom
# Electronic total energy = -9.835 eV per atom
# Formation energy = -0.623 eV/atom
# DOS at the Fermi energy = 5.71 states/eV/cell

3.
# TaTcIr (PBE, relaxed)
data_TaTcIr
_space_group_name_H-M_alt 'P 3 m 1'
_space_group_IT_number 156
_cell_length_a 4.4591
_cell_length_b 4.4591
_cell_length_c 2.7586
_cell_angle_alpha 90.00
_cell_angle_beta 90.00
_cell_angle_gamma 120.00
loop_
_space_group_symop_operation_xyz
'x,y,z'
'-y,x-y,z'
'-x+y,-x,z'
'-y,-x,z'
'-x+y,y,z'
'x,x-y,z'
loop_
_atom_site_label
_atom_site_type_symbol
_atom_site_fract_x
_atom_site_fract_y
_atom_site_fract_z
Ta1 Ta 0.0000 0.0000 0.0000
Tc1 Tc 0.3333 0.6667 0.2548
Ir1 Ir 0.6667 0.3333 0.7040
# Magnetic moment = 0.000 μB per atom
# Electronic total energy = -10.459 eV per atom
# Formation energy = -0.099 eV/atom
# DOS at the Fermi energy = 3.90 states/eV/cell

4.
# Ta6Tc5Ir (PBE, relaxed)
data_Ta6Tc5Ir
_space_group_name_H-M_alt 'I m m m'
_space_group_IT_number 71
_space_group_name_Hall '-I 2 2'
_cell_length_a 4.500
_cell_length_b 6.388
_cell_length_c 13.535
_cell_angle_alpha 90.00
_cell_angle_beta 90.00
_cell_angle_gamma 90.00
loop_
_atom_site_label
_atom_site_type_symbol
_atom_site_fract_x
_atom_site_fract_y
_atom_site_fract_z
Ta1 Ta 0.000 0.244 0.000
Ta2 Ta 0.000 0.253 0.331
Tc1 Tc 0.000 0.000 0.167
Tc2 Tc 0.000 0.500 0.164
Tc3 Tc 0.000 0.500 0.500
Ir1 Ir 0.000 0.000 0.500
# Magnetic moment = 0.000 μB per atom
# Electronic total energy = -11.460 eV per atom
# Formation energy = -0.476 eV/atom
# DOS at the Fermi energy = 10.50 states/eV/cell

5.
# Ta4TcIr (PBE, relaxed)
data_Ta4TcIr
_space_group_name_H-M_alt 'F -4 3 m'
_space_group_IT_number 216
_space_group_name_Hall 'F -4 2 3'
_cell_length_a 7.496
_cell_length_b 7.496
_cell_length_c 7.496
_cell_angle_alpha 90.00
_cell_angle_beta 90.00
_cell_angle_gamma 90.00
loop_
_atom_site_label
_atom_site_type_symbol
_atom_site_fract_x
_atom_site_fract_y
_atom_site_fract_z
Ta1 Ta 0.124 0.124 0.376
Tc1 Tc 0.250 0.250 0.750
Ir1 Ir 0.000 0.000 0.000
# Magnetic moment = 0.001 μB per atom
# Electronic total energy = -10.757 eV per atom
# Formation energy = 0.350 eV/atom
# DOS at the Fermi energy = 37.30 states/eV/cell

6.
# TaTcIr (PBE, relaxed)
data_TaTcIr
_space_group_name_H-M_alt 'I m m 2'
_space_group_IT_number 44
_cell_length_a 2.783
_cell_length_b 3.933
_cell_length_c 8.621
_cell_angle_alpha 90.00
_cell_angle_beta 90.00
_cell_angle_gamma 90.00
loop_
_space_group_symop_operation_xyz
'x,y,z'
'-x,-y,z'
'-x,y,z'
'x,-y,z'
'x+1/2,y+1/2,z+1/2'
'-x+1/2,-y+1/2,z+1/2'
'-x+1/2,y+1/2,z+1/2'
'x+1/2,-y+1/2,z+1/2'
loop_
_atom_site_label
_atom_site_type_symbol
_atom_site_fract_x
_atom_site_fract_y
_atom_site_fract_z
Ta1 Ta 0.000 0.000 0.000
Tc1 Tc 0.000 0.000 0.672
Ir1 Ir 0.000 0.000 0.329
# Magnetic moment = 0.000 μB per atom
# Electronic total energy = -10.561 eV per atom
# Formation energy = -0.202 eV/atom
# DOS at the Fermi energy = 6.12 states/eV/cell

7.
# TaTcIr (PBE, relaxed)
data_TaTcIr
_space_group_name_H-M_alt 'F -4 3 m'
_space_group_IT_number 216
_space_group_name_Hall 'F -4 2 3'
_cell_length_a 6.049
_cell_length_b 6.049
_cell_length_c 6.049
_cell_angle_alpha 90.00
_cell_angle_beta 90.00
_cell_angle_gamma 90.00
loop_
_atom_site_label
_atom_site_type_symbol
_atom_site_fract_x
_atom_site_fract_y
_atom_site_fract_z
Ta1 Ta 0.000 0.000 0.000
Tc1 Tc 0.250 0.250 0.250
Ir1 Ir 0.250 0.250 0.750
# Magnetic moment = 0.000 μB per atom
# Electronic total energy = -10.065 eV per atom
# Formation energy = 0.295 eV/atom
# DOS at the Fermi energy = 16.12 states/eV/cell

8.
# TaTcIr (PBE, relaxed)
data_TaTcIr
_space_group_name_H-M_alt 'I 4 m m'
_space_group_IT_number 107
_space_group_name_Hall 'I 4 -2'
_cell_length_a 3.227
_cell_length_b 3.227
_cell_length_c 9.246
_cell_angle_alpha 90.00
_cell_angle_beta 90.00
_cell_angle_gamma 90.00
loop_
_atom_site_label
_atom_site_type_symbol
_atom_site_fract_x
_atom_site_fract_y
_atom_site_fract_z
Ta1 Ta 0.000 0.000 0.000
Tc1 Tc 0.000 0.000 0.653
Ir1 Ir 0.000 0.000 0.340
# Magnetic moment = 0.000 μB per atom
# Electronic total energy = -10.476 eV per atom
# Formation energy = -0.116 eV/atom
# DOS at the Fermi energy = 6.49 states/eV/cell

- Which value of formation energy does entry 4 give?
  -0.476 eV/atom

- Which value of formation energy does entry 7 give?
  0.295 eV/atom

- Among the records above, which one has the lowest formation energy?
  TbTaIr2

- What is the formation energy in the third record?
  -0.099 eV/atom